First-principles (GGA+U) data for crystalline NaPa2CoO8 at its relaxed geometry, as listed in the Alexandria database.

**VASP energy**: -7.622 eV/atom
**D(E_F)**: 0.368 states/eV/atom

Cell: 5.0571 5.0571 7.3822 Å, 90.00 90.00 120.00°
Fractional positions:
Na (0.0000, 0.0000, 0.0000)
Pa (0.3333, 0.6667, 0.3515)
Pa (0.6667, 0.3333, 0.6485)
Co (0.0000, 0.0000, 0.5000)
O (0.1717, 0.3434, 0.6404)
O (0.1717, 0.8283, 0.6404)
O (0.3333, 0.6667, 0.0975)
O (0.3434, 0.1717, 0.3596)
O (0.6566, 0.8283, 0.6404)
O (0.6667, 0.3333, 0.9025)
O (0.8283, 0.1717, 0.3596)
O (0.8283, 0.6566, 0.3596)